# HoTh2Tl9 PBE-GGA optimized geometry
# total moment = 0.0 μB per formula unit
# symmetry = No. 123
# calculated formation energy = -16.5 kJ/mol of atoms
# theoretical density = 12.34 Mg/m³
# D(E_F) = 6.7 states/eV per cell
# electronic total energy = -3.564 eV/atom
data_HoTh2Tl9
_symmetry_space_group_name_H-M 'P 1'
_symmetry_Int_Tables_number 1
_symmetry_space_group_name_Hall 'P 1'
_cell_length_a 4.8095
_cell_length_b 4.8095
_cell_length_c 14.3604
_cell_angle_alpha 90.00
_cell_angle_beta 90.00
_cell_angle_gamma 90.00
loop_
_atom_site_label
_atom_site_fract_x
_atom_site_fract_y
_atom_site_fract_z
Ho1 0.0000 0.0000 0.0000
Th1 0.0000 0.0000 0.3319
Th2 0.0000 0.0000 0.6681
Tl1 0.0000 0.5000 0.1621
Tl2 0.0000 0.5000 0.5000
Tl3 0.0000 0.5000 0.8379
Tl4 0.5000 0.0000 0.1621
Tl5 0.5000 0.0000 0.5000
Tl6 0.5000 0.0000 0.8379
Tl7 0.5000 0.5000 0.0000
Tl8 0.5000 0.5000 0.3321
Tl9 0.5000 0.5000 0.6679